Record 1
Here is crystalline KZnI3 at its relaxed geometry from Alexandria. Energies are from PBE.

Cell: 5.855 8.775 8.777 Å, 74.89 87.60 87.58°
Element x y z (fractional)
Zn  0.742  0.621  0.722
Zn  0.742  0.283  0.060
I  0.500  0.285  0.314
I  0.507  0.351  0.790
I  0.985  0.619  0.468
I  0.500  0.875  0.725
I  0.978  0.553  0.992
I  0.985  0.029  0.057
K  0.521  0.745  0.184
K  0.964  0.160  0.599

Summary:
ΔE_f (raw): -929 meV/atom
Space-group type: P-1



Record 2
Here is crystalline TcW2AuN at its relaxed geometry from Alexandria. Energies are from PBE.

Cell: 4.128 4.128 4.124 Å, 90.00 90.00 90.00°
Element x y z (fractional)
W  0.500  0.000  0.000
W  0.000  0.500  0.000
N  0.000  0.000  0.000
Au  0.500  0.500  0.500
Tc  0.000  0.000  0.500

Summary:
ΔE_f (raw): 121 meV/atom
Space-group type: P4/mmm



Record 3
Here is crystalline HfAlSi3 at its relaxed geometry from Alexandria. Energies are from PBE.

Cell: 4.642 4.642 4.642 Å, 90.00 90.00 90.00°
Element x y z (fractional)
Hf  0.500  0.500  0.500
Si  0.000  0.000  0.500
Si  0.500  0.000  0.000
Si  0.000  0.500  0.000
Al  0.000  0.000  0.000

Summary:
ΔE_f (raw): 888 meV/atom
Space-group type: Pm-3m



Record 4
Here is crystalline Li3CdGe at its relaxed geometry from Alexandria. Energies are from PBE.

Cell: 5.139 5.139 5.124 Å, 112.42 112.42 105.13°
Element x y z (fractional)
Cd  0.556  0.556  0.221
Li  0.856  0.262  0.589
Li  0.262  0.856  0.589
Li  0.933  0.933  0.996
Ge  0.390  0.390  0.598

Summary:
Formation enthalpy at 0 K: -0.180 eV/atom
Space-group type: Cm



Record 5
Here is crystalline PrSn4Rh6 at its relaxed geometry from Alexandria. Energies are from PBE.

Cell: 6.872 6.872 6.872 Å, 87.56 121.42 121.42°
Element x y z (fractional)
Sn  0.000  0.110  0.519
Sn  0.409  0.890  0.890
Sn  0.591  0.481  0.481
Sn  0.000  0.519  0.110
Rh  0.500  0.000  0.500
Rh  0.000  0.425  0.753
Rh  0.672  0.247  0.247
Rh  0.328  0.575  0.575
Rh  0.000  0.753  0.425
Rh  0.500  0.500  0.000
Pr  0.000  0.000  0.000

Summary:
Formation enthalpy at 0 K: -0.293 eV/atom
Space-group type: I-42m



Record 6
Here is crystalline BeIrAu2 at its relaxed geometry from Alexandria. Energies are from PBE.

Cell: 3.733 3.733 9.814 Å, 79.04 79.04 90.00°
Element x y z (fractional)
Au  0.128  0.625  0.250
Au  0.875  0.872  0.750
Au  0.375  0.378  0.750
Au  0.622  0.125  0.250
Be  0.250  0.750  0.500
Be  0.500  0.500  0.000
Ir  0.000  0.000  0.000
Ir  0.750  0.250  0.500

Summary:
Formation enthalpy at 0 K: 0.481 eV/atom
Space-group type: I-42d